Below is a geometry-optimized YHoAu2 structure, with properties calculated at the GGA-PBE level.

## Properties
Offset from the most stable computed form   22 meV per atom
Uncorrected energy   -5.264 eV/atom
Mass density   11.57 g/cm³
Formation energy from the elements   -0.864 eV/atom

Lattice parameters (Å, degrees): 5.1040 5.1040 3.5681 90.00 90.00 90.00
Space group P4/mmm (No. 123)
Symmetry-distinct sites (fractional):
Y (0.0000, 0.0000, 0.0000) [1 per cell]
Ho (0.5000, 0.5000, 0.0000) [1 per cell]
Au (0.0000, 0.5000, 0.5000) [2 per cell]